Tc2RuRh2 | Alexandria | PBE-GGA | optimized geometry; M_tot = 0.00 μB/atom; SG = C2/m (12)
1.0
-0.482 -2.389 -3.002
3.653 -2.860 -0.797
0.217 -8.733 4.432
Ru Rh Tc
2 4 4
direct
0.250 0.250 0.750
0.750 0.750 0.250
0.553 0.743 0.651
0.053 0.243 0.151
0.447 0.257 0.349
0.947 0.757 0.849
0.846 0.261 0.547
0.654 0.239 0.953
0.346 0.761 0.047
0.154 0.739 0.453

TcRuRh6 | Alexandria | PBE-GGA | optimized geometry; M_tot = 0.00 μB/atom; SG = R-3m (166)
1.0
-2.749 4.183 1.122
-2.005 -0.047 -4.721
-3.842 -2.966 1.658
Rh Ru Tc
6 1 1
direct
0.561 0.168 0.168
0.168 0.168 0.561
0.832 0.832 0.439
0.832 0.439 0.832
0.168 0.561 0.168
0.439 0.832 0.832
0.500 0.500 0.500
0.000 0.000 0.000

Number 1: formation energy from the elements -3.3 kJ per mole of atoms, uncorrected energy -89.76 eV/cell, V 142.49 Å³ per cell. Number 2: formation energy from the elements 78.5 kJ per mole of atoms, uncorrected energy -57.24 eV/cell, V 134.97 Å³ per cell.